Here is Tb2SmDy4Th after structural relaxation from Alexandria. Energies are from PBE-GGA.

Values from the calculation:
crystal system	orthorhombic
energy of formation	0.03	eV per atom
total magnetic moment	0.00	μB/cell
space group	Pmmm, No. 47

Cell lengths 5.0595, 5.0455, 11.2215 Å; angles 63.29, 90.00, 90.00 degrees
Last column: nearest neighbours and their distance in Å.
Atoms (fractional coordinates):
Tb  0.0000  0.0000  0.0000  4 Sm 3.57, 8 Dy 3.58-3.59
Tb  0.5000  0.0000  0.5000  8 Dy 3.53-3.54, 4 Th 3.57
Sm  0.5000  0.5000  0.0000  4 Tb 3.57, 8 Dy 3.58
Dy  0.0000  0.7531  0.7467  2 Th 3.53, 4 Tb 3.54-3.58, 4 Dy 3.57, 2 Sm 3.58
Dy  0.0000  0.2469  0.2533  2 Th 3.53, 4 Tb 3.54-3.58, 4 Dy 3.57, 2 Sm 3.58
Dy  0.5000  0.7462  0.2537  4 Tb 3.53-3.59, 2 Th 3.53, 4 Dy 3.57, 2 Sm 3.58
Dy  0.5000  0.2538  0.7463  4 Tb 3.53-3.59, 2 Th 3.53, 4 Dy 3.57, 2 Sm 3.58
Th  0.0000  0.5000  0.5000  8 Dy 3.53, 4 Tb 3.57